Density functional theory data (PBE) for crystalline ReOsI2N at its relaxed geometry.

As for the electronic total energy: -5.4962 eV/atom. As for the crystal system: tetragonal. For the distance to the lowest polymorph of the same formula, the calculation gives 0.16 eV/f.u. The density of states at the Fermi level comes out at 6.467 states/eV/f.u.

It has space group P4/mmm (No. 123), with a = 5.390 Å, b = 5.390 Å, c = 3.689 Å, α = 90.00°, β = 90.00° and γ = 90.00°. The asymmetric unit holds Re at (0.000, 0.000, 0.000), Os at (0.500, 0.500, 0.500), I at (0.000, 0.500, 0.000) and N at (0.000, 0.000, 0.500).


Density functional theory data (PBE) for crystalline KScIn2 at its relaxed geometry.

As for the electronic total energy: -3.4233 eV/atom. As for the crystal system: tetragonal. For the distance to the lowest polymorph of the same formula, the calculation gives 0.00 eV/f.u. Its formation energy is -0.20 eV/atom. The density of states at the Fermi level comes out at 2.884 states/eV/f.u.

It has space group P4/mmm (No. 123), with a = 3.681 Å, b = 3.681 Å, c = 8.507 Å, α = 90.00°, β = 90.00° and γ = 90.00°. The asymmetric unit holds K at (0.000, 0.000, 0.000), Sc at (0.000, 0.000, 0.500) and In at (0.500, 0.500, 0.306).


Density functional theory data (PBE) for crystalline Tb5TmTl6 at its relaxed geometry.

As for the electronic total energy: -3.8286 eV/atom. As for the crystal system: monoclinic. Its formation energy is -0.34 eV/atom. The density of states at the Fermi level comes out at 8.768 states/eV/f.u.

It has space group P2/m (No. 10), with a = 5.403 Å, b = 7.501 Å, c = 8.544 Å, α = 90.00°, β = 108.30° and γ = 90.00°. The asymmetric unit holds Tb at (0.000, 0.000, 0.000), Tb at (0.332, 0.000, 0.664), Tb at (0.334, 0.500, 0.667), Tm at (0.000, 0.500, 0.000), Tl at (0.165, 0.252, 0.331) and Tl at (0.500, 0.251, 0.000).


Density functional theory data (PBE) for crystalline Rb2LiNbTe4 at its relaxed geometry.

As for the electronic total energy: -4.0474 eV/atom. As for the crystal system: tetragonal.

It has space group I-42m (No. 121), with a = 9.025 Å, b = 9.025 Å, c = 7.366 Å, α = 90.00°, β = 90.00° and γ = 90.00°. The asymmetric unit holds Rb at (0.000, 0.500, 0.000), Li at (0.000, 0.000, 0.000), Nb at (0.000, 0.000, 0.500) and Te at (0.164, 0.164, 0.720).


Density functional theory data (PBE) for crystalline Th3B2PdRh9 at its relaxed geometry.

As for the electronic total energy: -7.7681 eV/atom. As for the crystal system: trigonal. Its formation energy is -0.64 eV/atom. The density of states at the Fermi level comes out at 10.906 states/eV/f.u.

It has space group P-3m1 (No. 164), with a = 5.8566 Å, b = 5.8566 Å, c = 8.7788 Å, α = 90.00°, β = 90.00° and γ = 120.00°. The asymmetric unit holds Th at (0.0000, 0.0000, 0.0000), Th at (0.3333, 0.6667, 0.6611), B at (0.3333, 0.6667, 0.1457), Pd at (0.0000, 0.0000, 0.5000), Rh at (0.0000, 0.5000, 0.0000) and Rh at (0.1651, 0.3301, 0.2755).


Density functional theory data (PBE) for crystalline NaTh2Te4 at its relaxed geometry.

As for the electronic total energy: -5.0943 eV/atom. As for the crystal system: tetragonal. For the distance to the lowest polymorph of the same formula, the calculation gives 0.87 eV/f.u. The density of states at the Fermi level comes out at 2.125 states/eV/f.u.

It has space group I-42m (No. 121), with a = 7.541 Å, b = 7.541 Å, c = 7.561 Å, α = 90.00°, β = 90.00° and γ = 90.00°. The asymmetric unit holds Na at (0.000, 0.000, 0.000), Th at (0.000, 0.500, 0.000) and Te at (0.201, 0.201, 0.278).


Repeat the sixth record exactly.
Density functional theory data (PBE) for crystalline NaTh2Te4 at its relaxed geometry.

As for the electronic total energy: -5.0943 eV/atom. As for the crystal system: tetragonal. For the distance to the lowest polymorph of the same formula, the calculation gives 0.87 eV/f.u. The density of states at the Fermi level comes out at 2.125 states/eV/f.u.

It has space group I-42m (No. 121), with a = 7.541 Å, b = 7.541 Å, c = 7.561 Å, α = 90.00°, β = 90.00° and γ = 90.00°. The asymmetric unit holds Na at (0.000, 0.000, 0.000), Th at (0.000, 0.500, 0.000) and Te at (0.201, 0.201, 0.278).


Q: The highest electronic total energy belongs to which entry?
A: KScIn2


Q: Among the records above, which one has the lowest electronic total energy?
A: Th3B2PdRh9


Q: Look up the electronic total energy of the first one.
A: -5.4962 eV/atom